[1]
VASP calculation (PBE) on a relaxed La7IrRh4 crystal.

a = 7.1467 Å, b = 7.1467 Å, c = 12.5193 Å
α = 105.13°, β = 105.13°, γ = 33.23°
With the nearest neighbours (Å) after each atom.
Element x y z (fractional)
La (0.0000, 0.0000, 0.0000)  1 Ir 2.88, 2 Rh 2.91
La (0.2209, 0.2209, 0.8542)  4 Rh 2.87-2.90
La (0.3009, 0.3009, 0.4265)  3 Rh 2.88-2.91, 1 Ir 2.91
La (0.5231, 0.5231, 0.2793)  2 Ir 2.90, 1 Rh 2.91
La (0.6045, 0.6045, 0.5878)  5 Rh 2.90-3.18
La (0.7599, 0.7599, 0.1400)  2 Ir 2.88, 2 Rh 2.90
La (0.9173, 0.9173, 0.6924)  5 Rh 2.90-3.14
Ir (0.1457, 0.1457, 0.2150)  6 La 2.88-2.91
Rh (0.2609, 0.2609, 0.6407)  6 La 2.87-2.90
Rh (0.3748, 0.3748, 0.0628)  6 La 2.87-2.91
Rh (0.5658, 0.5658, 0.8266)  5 La 2.90-3.18
Rh (0.9569, 0.9569, 0.4569)  5 La 2.91-3.14

Output
- D(E_F): 7.79 states/eV/f.u.
- E_form: -0.6827 eV per atom
- Crystal system: monoclinic

=====

[2]
VASP calculation (PBE) on a relaxed LaIr2Rh crystal.

a = 4.1306 Å, b = 4.1306 Å, c = 8.4326 Å
α = 90.00°, β = 90.00°, γ = 90.00°
With the nearest neighbours (Å) after each atom.
Element x y z (fractional)
La (0.0000, 0.0000, 0.0000)  4 Rh 2.92, 8 Ir 2.95
La (0.5000, 0.5000, 0.5000)  4 Rh 2.92, 8 Ir 2.95
Ir (0.0000, 0.5000, 0.2500)  4 Ir 2.92, 4 La 2.95, 4 Rh 2.95
Ir (0.0000, 0.5000, 0.7500)  4 Ir 2.92, 4 La 2.95, 4 Rh 2.95
Ir (0.5000, 0.0000, 0.2500)  4 Ir 2.92, 4 La 2.95, 4 Rh 2.95
Ir (0.5000, 0.0000, 0.7500)  4 Ir 2.92, 4 La 2.95, 4 Rh 2.95
Rh (0.0000, 0.0000, 0.5000)  4 La 2.92, 8 Ir 2.95
Rh (0.5000, 0.5000, 0.0000)  4 La 2.92, 8 Ir 2.95

Output
- D(E_F): 5.70 states/eV/f.u.
- Energy above the lowest structure with this stoichiometry: 59 kJ/mol of formula units
- E_form: -0.0701 eV per atom
- Crystal system: tetragonal

=====

| no. | electronic total energy (eV per atom) |
| --- | --- |
| 1 | -6.746 |
| 2 | -7.570 |